Entry 1:
! LaCuSiPd, optimized geometry, DFT PBE-GGA; values from VASP
! E_tot in Ha/atom: -0.1906
! M_tot in Bohr magnetons per cell: 0.00
! E above lowest polymorph in meV per atom: 0
&SYSTEM
  ibrav = 0, nat = 4, ntyp = 4
/
ATOMIC_SPECIES
Cu 63.55 Cu.upf
La 138.91 La.upf
Pd 106.42 Pd.upf
Si 28.09 Si.upf
CELL_PARAMETERS angstrom
4.171 -0.231 2.217
1.825 3.870 2.015
0.195 0.344 4.713
ATOMIC_POSITIONS crystal
Cu 0.750 0.750 0.750
La 0.500 0.500 0.500
Pd 0.250 0.250 0.250
Si 0.000 0.000 0.000

=====

Entry 2:
! TbIn2Pb, optimized geometry, DFT PBE-GGA; values from VASP
! E_tot in Ha/atom: -0.1404
! M_tot in Bohr magnetons per cell: 0.00
&SYSTEM
  ibrav = 0, nat = 4, ntyp = 3
/
ATOMIC_SPECIES
In 114.82 In.upf
Pb 207.20 Pb.upf
Tb 158.93 Tb.upf
CELL_PARAMETERS angstrom
4.664 0.000 0.000
0.000 4.664 0.000
0.000 0.000 4.852
ATOMIC_POSITIONS crystal
In 0.500 0.000 0.500
In 0.000 0.500 0.500
Pb 0.000 0.000 0.000
Tb 0.500 0.500 0.000

=====

Entry 3:
! LuCoMoPb, optimized geometry, DFT PBE-GGA; values from VASP
! E_tot in Ha/atom: -0.2199
! M_tot in Bohr magnetons per cell: 3.92
! E above lowest polymorph in meV per atom: 158
&SYSTEM
  ibrav = 0, nat = 4, ntyp = 4
/
ATOMIC_SPECIES
Co 58.93 Co.upf
Lu 174.97 Lu.upf
Mo 95.94 Mo.upf
Pb 207.20 Pb.upf
CELL_PARAMETERS angstrom
-1.275 -0.084 4.561
-4.583 0.193 1.182
-2.148 -3.824 1.789
ATOMIC_POSITIONS crystal
Co 0.750 0.750 0.750
Lu 0.250 0.250 0.250
Mo 0.500 0.500 0.500
Pb 0.000 0.000 0.000

=====

Entry 4:
! LiCoAu, optimized geometry, DFT PBE-GGA; values from VASP
! E_tot in Ha/atom: -0.1397
! M_tot in Bohr magnetons per cell: 2.00
! E above lowest polymorph in meV per atom: 0
&SYSTEM
  ibrav = 0, nat = 3, ntyp = 3
/
ATOMIC_SPECIES
Au 196.97 Au.upf
Co 58.93 Co.upf
Li 6.94 Li.upf
CELL_PARAMETERS angstrom
0.000 2.946 2.946
2.946 0.000 2.946
2.946 2.946 0.000
ATOMIC_POSITIONS crystal
Au 0.000 0.000 0.000
Co 0.250 0.250 0.250
Li 0.750 0.750 0.750

=====

Entry 5:
! NbInNO, optimized geometry, DFT PBE-GGA; values from VASP
! E_tot in Ha/atom: -0.2691
! M_tot in Bohr magnetons per cell: 0.00
! E above lowest polymorph in meV per atom: 98
&SYSTEM
  ibrav = 0, nat = 8, ntyp = 4
/
ATOMIC_SPECIES
In 114.82 In.upf
N 14.01 N.upf
Nb 92.91 Nb.upf
O 16.00 O.upf
CELL_PARAMETERS angstrom
3.982 0.000 0.000
0.000 3.982 0.000
0.000 0.000 7.382
ATOMIC_POSITIONS crystal
In 0.250 0.250 0.133
In 0.750 0.750 0.867
N 0.750 0.750 0.404
N 0.250 0.250 0.596
Nb 0.750 0.250 0.500
Nb 0.250 0.750 0.500
O 0.750 0.250 0.000
O 0.250 0.750 0.000

=====

Entry 6:
! Li2Sc2AlSiNi2, optimized geometry, DFT PBE-GGA; values from VASP
! E_tot in Ha/atom: -0.1886
! M_tot in Bohr magnetons per cell: 0.00
&SYSTEM
  ibrav = 0, nat = 8, ntyp = 5
/
ATOMIC_SPECIES
Al 26.98 Al.upf
Li 6.94 Li.upf
Ni 58.69 Ni.upf
Sc 44.96 Sc.upf
Si 28.09 Si.upf
CELL_PARAMETERS angstrom
-2.841 2.273 2.232
-0.873 -3.432 2.384
4.381 1.617 3.931
ATOMIC_POSITIONS crystal
Al 0.000 0.000 0.000
Li 0.500 0.000 0.259
Li 0.000 0.500 0.741
Ni 0.000 0.500 0.257
Ni 0.500 0.000 0.743
Sc 0.500 0.500 0.000
Sc 0.000 0.000 0.500
Si 0.500 0.500 0.500

=====

Entry 7:
! Hf4CdPbN2, optimized geometry, DFT PBE-GGA; values from VASP
! E_tot in Ha/atom: -0.3140
! M_tot in Bohr magnetons per cell: 0.01
&SYSTEM
  ibrav = 0, nat = 8, ntyp = 4
/
ATOMIC_SPECIES
Cd 112.41 Cd.upf
Hf 178.49 Hf.upf
N 14.01 N.upf
Pb 207.20 Pb.upf
CELL_PARAMETERS angstrom
-2.902 1.452 0.432
0.804 -1.212 -2.933
-5.931 -12.968 3.733
ATOMIC_POSITIONS crystal
Cd 0.333 0.667 0.000
Hf 0.667 0.333 0.167
Hf 0.333 0.667 0.332
Hf 0.333 0.667 0.668
Hf 0.667 0.333 0.833
N 0.000 0.000 0.246
N 0.000 0.000 0.754
Pb 0.667 0.333 0.500

=====

Entry 8:
! Sc12Co5Bi, optimized geometry, DFT PBE-GGA; values from VASP
! E_tot in Ha/atom: -0.2490
! M_tot in Bohr magnetons per cell: 0.01
&SYSTEM
  ibrav = 0, nat = 18, ntyp = 3
/
ATOMIC_SPECIES
Bi 208.98 Bi.upf
Co 58.93 Co.upf
Sc 44.96 Sc.upf
CELL_PARAMETERS angstrom
-3.845 -6.395 -1.977
-4.934 4.325 4.067
2.505 3.761 -6.258
ATOMIC_POSITIONS crystal
Bi 0.500 0.500 0.000
Co 0.000 0.000 0.000
Co 0.000 0.361 0.361
Co 0.618 0.118 0.500
Co 0.382 0.882 0.500
Co 0.000 0.639 0.639
Sc 0.278 0.817 0.095
Sc 0.216 0.414 0.198
Sc 0.784 0.981 0.198
Sc 0.619 0.312 0.306
Sc 0.994 0.688 0.306
Sc 0.278 0.183 0.461
Sc 0.722 0.817 0.539
Sc 0.006 0.312 0.694
Sc 0.381 0.688 0.694
Sc 0.216 0.019 0.802
Sc 0.784 0.586 0.802
Sc 0.722 0.183 0.905

=====

Entry 9:
! HfAg2Te2, optimized geometry, DFT PBE-GGA; values from VASP
! E_tot in Ha/atom: -0.1630
! M_tot in Bohr magnetons per cell: 0.01
&SYSTEM
  ibrav = 0, nat = 5, ntyp = 3
/
ATOMIC_SPECIES
Ag 107.87 Ag.upf
Hf 178.49 Hf.upf
Te 127.60 Te.upf
CELL_PARAMETERS angstrom
-1.901 1.901 7.781
1.901 -1.901 7.781
1.901 1.901 -7.781
ATOMIC_POSITIONS crystal
Ag 0.750 0.250 0.500
Ag 0.250 0.750 0.500
Hf 0.000 0.000 0.000
Te 0.400 0.400 0.000
Te 0.600 0.600 0.000

=====

Entry 10:
! YAgB4, optimized geometry, DFT PBE-GGA; values from VASP
! E_tot in Ha/atom: -0.2228
! M_tot in Bohr magnetons per cell: 0.00
! E above lowest polymorph in meV per atom: 0
&SYSTEM
  ibrav = 0, nat = 6, ntyp = 3
/
ATOMIC_SPECIES
Ag 107.87 Ag.upf
B 10.81 B.upf
Y 88.91 Y.upf
CELL_PARAMETERS angstrom
0.211 -3.954 3.134
3.298 1.496 3.519
-4.560 0.951 -1.949
ATOMIC_POSITIONS crystal
Ag 0.000 0.000 0.000
B 0.559 0.239 0.320
B 0.081 0.761 0.320
B 0.919 0.239 0.680
B 0.441 0.761 0.680
Y 0.500 0.500 0.000

=====

Entry 11:
! CsCuNiTe3, optimized geometry, DFT PBE-GGA; values from VASP
! E_tot in Ha/atom: -0.1327
! M_tot in Bohr magnetons per cell: 0.24
! E above lowest polymorph in meV per atom: 0
&SYSTEM
  ibrav = 0, nat = 12, ntyp = 4
/
ATOMIC_SPECIES
Cs 132.91 Cs.upf
Cu 63.55 Cu.upf
Ni 58.69 Ni.upf
Te 127.60 Te.upf
CELL_PARAMETERS angstrom
9.640 0.000 0.000
0.000 4.051 0.000
-4.443 0.000 9.470
ATOMIC_POSITIONS crystal
Cs 0.221 0.250 0.262
Cs 0.779 0.750 0.738
Cu 0.938 0.750 0.420
Cu 0.062 0.250 0.580
Ni 0.668 0.250 0.145
Ni 0.332 0.750 0.855
Te 0.490 0.750 0.127
Te 0.845 0.750 0.141
Te 0.764 0.250 0.424
Te 0.236 0.750 0.576
Te 0.155 0.250 0.859
Te 0.510 0.250 0.873

=====

Entry 12:
! PuInHg, optimized geometry, DFT PBE-GGA; values from VASP
! E_tot in Ha/atom: -0.2023
! M_tot in Bohr magnetons per cell: 6.01
! E above lowest polymorph in meV per atom: 127
&SYSTEM
  ibrav = 0, nat = 3, ntyp = 3
/
ATOMIC_SPECIES
Hg 200.59 Hg.upf
In 114.82 In.upf
Pu 244.00 Pu.upf
CELL_PARAMETERS angstrom
-3.241 -0.605 3.827
-4.192 -2.743 -0.650
-0.445 -4.503 2.245
ATOMIC_POSITIONS crystal
Hg 0.000 0.000 0.000
In 0.500 0.500 0.500
Pu 0.250 0.250 0.250